Here is a relaxed Ca4Zn crystal from the Alexandria database. Energies are from PBE.

Lattice parameters (Å, degrees): 7.235 7.235 7.235 90.00 90.00 90.00
Atoms (fractional coordinates):
Ca: 0.250 0.250 0.250
Ca: 0.250 0.250 0.750
Ca: 0.250 0.750 0.250
Ca: 0.250 0.750 0.750
Ca: 0.750 0.250 0.250
Ca: 0.750 0.250 0.750
Ca: 0.750 0.750 0.250
Ca: 0.750 0.750 0.750
Zn: 0.000 0.000 0.000
Zn: 0.500 0.500 0.500

Calculated values
E above lowest polymorph: 197.5 meV per atom
Formation enthalpy at 0 K: 0.10 eV per atom



Here is a relaxed Co3TeBr crystal from the Alexandria database. Energies are from PBE.

Lattice parameters (Å, degrees): 4.493 4.493 4.493 90.00 90.00 90.00
Atoms (fractional coordinates):
Co: 0.000 0.000 0.500
Co: 0.000 0.500 0.000
Co: 0.500 0.000 0.000
Te: 0.500 0.500 0.500
Br: 0.000 0.000 0.000

Calculated values
E above lowest polymorph: 48.2 meV per atom
E_form (uncorrected): 1.0424 eV per atom



Here is a relaxed TiCd2Au crystal from the Alexandria database. Energies are from PBE.

Lattice parameters (Å, degrees): 7.808 7.808 5.634 90.00 90.00 90.00
Atoms (fractional coordinates):
Ti: 0.000 0.000 0.000
Ti: 0.000 0.500 0.250
Ti: 0.500 0.000 0.750
Ti: 0.500 0.500 0.500
Cd: 0.238 0.250 0.625
Cd: 0.250 0.738 0.875
Cd: 0.250 0.762 0.375
Cd: 0.262 0.250 0.125
Cd: 0.738 0.750 0.125
Cd: 0.750 0.238 0.375
Cd: 0.750 0.262 0.875
Cd: 0.762 0.750 0.625
Au: 0.000 0.000 0.500
Au: 0.000 0.500 0.750
Au: 0.500 0.000 0.250
Au: 0.500 0.500 0.000

Calculated values
E above lowest polymorph: 295.1 meV per atom
Formation enthalpy at 0 K: 0.21 eV per atom



Here is a relaxed Ac2CuPO8 crystal from the Alexandria database. Energies are from PBE.

Lattice parameters (Å, degrees): 5.615 5.615 5.793 90.00 90.00 120.00
Atoms (fractional coordinates):
Ac: 0.333 0.667 0.334
Ac: 0.667 0.333 0.666
Cu: 0.000 0.000 0.000
P: 0.000 0.000 0.500
O: 0.142 0.285 0.675
O: 0.142 0.858 0.675
O: 0.285 0.142 0.325
O: 0.333 0.667 0.951
O: 0.667 0.333 0.049
O: 0.715 0.858 0.675
O: 0.858 0.142 0.325
O: 0.858 0.715 0.325

Calculated values
E_form (uncorrected): -1.5832 eV per atom



Here is a relaxed YGa3FeCu crystal from the Alexandria database. Energies are from PBE.

Lattice parameters (Å, degrees): 6.490 6.490 5.560 90.00 90.00 107.21
Atoms (fractional coordinates):
Y: 0.203 0.797 0.750
Y: 0.797 0.203 0.250
Ga: 0.239 0.239 0.000
Ga: 0.239 0.239 0.500
Ga: 0.295 0.705 0.250
Ga: 0.705 0.295 0.750
Ga: 0.761 0.761 0.000
Ga: 0.761 0.761 0.500
Fe: 0.073 0.927 0.250
Fe: 0.927 0.073 0.750
Cu: 0.477 0.523 0.750
Cu: 0.523 0.477 0.250

Calculated values
Formation enthalpy at 0 K: -0.10 eV per atom



Here is a relaxed Na2PuAu9 crystal from the Alexandria database. Energies are from PBE.

Lattice parameters (Å, degrees): 9.982 9.982 9.982 32.36 32.36 32.36
Atoms (fractional coordinates):
Na: 0.146 0.146 0.146
Na: 0.854 0.854 0.854
Pu: 0.000 0.000 0.000
Au: 0.083 0.586 0.586
Au: 0.332 0.332 0.332
Au: 0.414 0.414 0.917
Au: 0.414 0.917 0.414
Au: 0.500 0.500 0.500
Au: 0.586 0.083 0.586
Au: 0.586 0.586 0.083
Au: 0.668 0.668 0.668
Au: 0.917 0.414 0.414

Calculated values
Formation enthalpy at 0 K: -0.28 eV per atom



Here is a relaxed Ac2TbPuN4 crystal from the Alexandria database. Energies are from PBE.

Lattice parameters (Å, degrees): 6.294 3.663 6.445 90.00 108.84 90.00
Atoms (fractional coordinates):
Ac: 0.000 0.000 0.000
Ac: 0.500 0.500 0.000
Tb: 0.000 0.500 0.500
Pu: 0.500 0.000 0.500
N: 0.249 0.000 0.716
N: 0.271 0.500 0.291
N: 0.729 0.500 0.709
N: 0.751 0.000 0.284

Calculated values
E_form (uncorrected): -1.1890 eV per atom



Here is a relaxed UTl3Rh2Se6 crystal from the Alexandria database. Energies are from PBE.

Lattice parameters (Å, degrees): 6.342 6.342 8.929 97.35 97.35 120.16
Atoms (fractional coordinates):
U: 0.000 0.000 0.000
Tl: 0.168 0.832 0.500
Tl: 0.500 0.500 0.500
Tl: 0.832 0.168 0.500
Rh: 0.334 0.666 0.000
Rh: 0.666 0.334 0.000
Se: 0.064 0.428 0.178
Se: 0.300 0.300 0.822
Se: 0.428 0.064 0.178
Se: 0.572 0.936 0.822
Se: 0.700 0.700 0.178
Se: 0.936 0.572 0.822

Calculated values
E_form (uncorrected): -0.5894 eV per atom